1.
Here is a relaxed VCrNF2 crystal from Alexandria via LeMat-Bulk. Energies are from PBE+U.

The value obtained for the excess energy over the best structure of this formula in the dataset is 360 meV/atom. As for the crystal system: tetragonal. As for the magnetic moment: 6.0 Bohr magnetons per cell. Its space-group type is No. 123.

Unit cell a=3.8326 b=3.8326 c=4.1527 alpha=90.00 beta=90.00 gamma=90.00
Closest atoms and distances in Å follow each position.
Fractional coordinates of all 5 atoms:
Cr  0.0000  0.0000  0.0000  4 F 1.92, 2 N 2.08
N  0.0000  0.0000  0.5000  2 Cr 2.08
F  0.0000  0.5000  0.0000  2 Cr 1.92
F  0.5000  0.0000  0.0000  2 Cr 1.92
V  0.5000  0.5000  0.5000  4 N 2.71, 8 F 2.83

=====

2.
Here is a relaxed V2CrNF crystal from Alexandria via LeMat-Bulk. Energies are from PBE+U.

As for the crystal system: tetragonal. The calculation puts the uncorrected energy at -5.635 eV per atom. As for the magnetic moment: 10.0 Bohr magnetons per cell. Its space-group type is No. 123.

Unit cell a=4.0823 b=4.9657 c=4.0823 alpha=90.00 beta=90.00 gamma=90.00
Closest atoms and distances in Å follow each position.
Fractional coordinates of all 5 atoms:
Cr  0.5000  0.5000  0.5000  4 N 2.89, 8 V 3.21
N  0.0000  0.5000  0.0000  2 F 2.48
F  0.0000  0.0000  0.0000  4 V 2.04
V  0.0000  0.0000  0.5000  2 F 2.04
V  0.5000  0.0000  0.0000  2 F 2.04

=====

3.
Here is a relaxed CrWN2F crystal from Alexandria via LeMat-Bulk. Energies are from PBE+U.

The value obtained for the excess energy over the best structure of this formula in the dataset is 0 meV/atom. As for the crystal system: tetragonal. As for the magnetic moment: 5.0 Bohr magnetons per cell. Its space-group type is No. 123.

Unit cell a=4.0273 b=4.0273 c=4.1223 alpha=90.00 beta=90.00 gamma=90.00
Closest atoms and distances in Å follow each position.
Fractional coordinates of all 5 atoms:
Cr  0.5000  0.5000  0.5000  4 F 2.85, 8 N 2.88
N  0.0000  0.5000  0.0000  2 W 2.01
N  0.5000  0.0000  0.0000  2 W 2.01
W  0.0000  0.0000  0.0000  4 N 2.01, 2 F 2.06
F  0.0000  0.0000  0.5000  2 W 2.06

=====

4.
Here is a relaxed CrWN2F crystal from Alexandria via LeMat-Bulk. Energies are from PBE+U.

The value obtained for the excess energy over the best structure of this formula in the dataset is 412 meV/atom. As for the crystal system: tetragonal. As for the magnetic moment: 5.0 Bohr magnetons per cell. Its space-group type is No. 123.

Unit cell a=3.9665 b=3.9665 c=3.6671 alpha=90.00 beta=90.00 gamma=90.00
Closest atoms and distances in Å follow each position.
Fractional coordinates of all 5 atoms:
Cr  0.0000  0.0000  0.0000  2 F 1.83, 4 N 1.98
N  0.0000  0.5000  0.0000  2 Cr 1.98
N  0.5000  0.0000  0.0000  2 Cr 1.98
W  0.5000  0.5000  0.5000  8 N 2.70, 4 F 2.80
F  0.0000  0.0000  0.5000  2 Cr 1.83

=====

5.
Here is a relaxed YCrNF2 crystal from Alexandria via LeMat-Bulk. Energies are from PBE+U.

The value obtained for the excess energy over the best structure of this formula in the dataset is 33 meV/atom. As for the crystal system: tetragonal. As for the magnetic moment: 4.0 Bohr magnetons per cell. Its space-group type is No. 123.

Unit cell a=4.2919 b=4.6723 c=4.2919 alpha=90.00 beta=90.00 gamma=90.00
Closest atoms and distances in Å follow each position.
Fractional coordinates of all 5 atoms:
Y  0.0000  0.0000  0.0000  4 F 2.15, 2 N 2.34
Cr  0.5000  0.5000  0.5000  4 N 3.03, 8 F 3.17
N  0.0000  0.5000  0.0000  2 Y 2.34
F  0.0000  0.0000  0.5000  2 Y 2.15
F  0.5000  0.0000  0.0000  2 Y 2.15

=====

6.
Here is a relaxed YCrNF2 crystal from Alexandria via LeMat-Bulk. Energies are from PBE+U.

The value obtained for the excess energy over the best structure of this formula in the dataset is 0 meV/atom. As for the crystal system: tetragonal. As for the magnetic moment: 3.8 Bohr magnetons per cell. Its space-group type is No. 123.

Unit cell a=3.9500 b=3.9500 c=4.2496 alpha=90.00 beta=90.00 gamma=90.00
Closest atoms and distances in Å follow each position.
Fractional coordinates of all 5 atoms:
Y  0.5000  0.5000  0.5000  4 N 2.79, 8 F 2.90
Cr  0.0000  0.0000  0.0000  4 F 1.98, 2 N 2.12
N  0.0000  0.0000  0.5000  2 Cr 2.12
F  0.0000  0.5000  0.0000  2 Cr 1.98
F  0.5000  0.0000  0.0000  2 Cr 1.98

=====

7.
Here is a relaxed ZnCrNF2 crystal from Alexandria via LeMat-Bulk. Energies are from PBE+U.

The value obtained for the excess energy over the best structure of this formula in the dataset is 308 meV/atom. As for the crystal system: tetragonal. As for the magnetic moment: 3.1 Bohr magnetons per cell. Its space-group type is No. 123.

Unit cell a=3.9436 b=3.9436 c=4.0642 alpha=90.00 beta=90.00 gamma=90.00
Closest atoms and distances in Å follow each position.
Fractional coordinates of all 5 atoms:
Cr  0.5000  0.5000  0.5000  4 N 2.79, 8 F 2.83
Zn  0.0000  0.0000  0.0000  4 F 1.97, 2 N 2.03
N  0.0000  0.0000  0.5000  2 Zn 2.03
F  0.0000  0.5000  0.0000  2 Zn 1.97
F  0.5000  0.0000  0.0000  2 Zn 1.97

=====

8.
Here is a relaxed ZnCrNF2 crystal from Alexandria via LeMat-Bulk. Energies are from PBE+U.

The value obtained for the excess energy over the best structure of this formula in the dataset is 0 meV/atom. As for the crystal system: tetragonal. As for the magnetic moment: 2.8 Bohr magnetons per cell. Its space-group type is No. 123.

Unit cell a=3.8356 b=3.8356 c=4.1405 alpha=90.00 beta=90.00 gamma=90.00
Closest atoms and distances in Å follow each position.
Fractional coordinates of all 5 atoms:
Cr  0.0000  0.0000  0.0000  4 F 1.92, 2 N 2.07
Zn  0.5000  0.5000  0.5000  4 N 2.71, 8 F 2.82
N  0.0000  0.0000  0.5000  2 Cr 2.07
F  0.0000  0.5000  0.0000  2 Cr 1.92
F  0.5000  0.0000  0.0000  2 Cr 1.92

=====

9.
Here is a relaxed ZrCrN2F crystal from Alexandria via LeMat-Bulk. Energies are from PBE+U.

The value obtained for the excess energy over the best structure of this formula in the dataset is 104 meV/atom. As for the crystal system: tetragonal. As for the magnetic moment: 3.2 Bohr magnetons per cell. Its space-group type is No. 123.

Unit cell a=4.2582 b=4.2582 c=4.1315 alpha=90.00 beta=90.00 gamma=90.00
Closest atoms and distances in Å follow each position.
Fractional coordinates of all 5 atoms:
Cr  0.5000  0.5000  0.5000  8 N 2.97, 4 F 3.01
N  0.0000  0.5000  0.0000  2 Zr 2.13
N  0.5000  0.0000  0.0000  2 Zr 2.13
Zr  0.0000  0.0000  0.0000  2 F 2.07, 4 N 2.13
F  0.0000  0.0000  0.5000  2 Zr 2.07

=====

10.
Here is a relaxed ZrCrN2F crystal from Alexandria via LeMat-Bulk. Energies are from PBE+U.

The value obtained for the excess energy over the best structure of this formula in the dataset is 0 meV/atom. As for the crystal system: tetragonal. As for the magnetic moment: 2.9 Bohr magnetons per cell. Its space-group type is No. 123.

Unit cell a=3.9542 b=3.9542 c=3.6292 alpha=90.00 beta=90.00 gamma=90.00
Closest atoms and distances in Å follow each position.
Fractional coordinates of all 5 atoms:
Cr  0.0000  0.0000  0.0000  2 F 1.81, 4 N 1.98
N  0.0000  0.5000  0.0000  2 Cr 1.98
N  0.5000  0.0000  0.0000  2 Cr 1.98
Zr  0.5000  0.5000  0.5000  8 N 2.68, 4 F 2.80
F  0.0000  0.0000  0.5000  2 Cr 1.81

=====

11.
Here is a relaxed NaCrF2 crystal from Alexandria via LeMat-Bulk. Energies are from PBE+U.

The value obtained for the excess energy over the best structure of this formula in the dataset is 201 meV/atom. As for the crystal system: tetragonal. As for the magnetic moment: 9.9 Bohr magnetons per cell. Its space-group type is No. 122.

Unit cell a=5.4218 b=5.4218 c=6.0185 alpha=63.23 beta=63.23 gamma=90.00
Closest atoms and distances in Å follow each position.
Fractional coordinates of all 8 atoms:
Cr  0.0000  0.0000  0.0000  4 F 2.25
Cr  0.7500  0.2500  0.5000  4 F 2.25
F  0.6233  0.1250  0.2500  2 Na 2.23, 2 Cr 2.25
F  0.1267  0.6250  0.2500  2 Na 2.23, 2 Cr 2.25
F  0.3750  0.3767  0.7500  2 Na 2.23, 2 Cr 2.25
F  0.8750  0.8733  0.7500  2 Na 2.23, 2 Cr 2.25
Na  0.5000  0.5000  0.0000  4 F 2.23
Na  0.2500  0.7500  0.5000  4 F 2.23

=====

12.
Here is a relaxed NaCrF6 crystal from Alexandria via LeMat-Bulk. Energies are from PBE+U.

As for the crystal system: orthorhombic. The calculation puts the uncorrected energy at -4.770 eV per atom. As for the magnetic moment: 4.0 Bohr magnetons per cell. Its space-group type is No. 62.

Unit cell a=5.9121 b=7.9550 c=9.6302 alpha=90.00 beta=90.00 gamma=90.00
Closest atoms and distances in Å follow each position.
Fractional coordinates of all 32 atoms:
Na  0.2500  0.1696  0.5047  7 F 2.35-2.57
Na  0.7500  0.6696  0.9953  7 F 2.35-2.57
Na  0.7500  0.8304  0.4953  7 F 2.35-2.57
Na  0.2500  0.3304  0.0047  7 F 2.35-2.57
Cr  0.7500  0.1153  0.7689  6 F 1.75-1.84
Cr  0.7500  0.3847  0.2689  6 F 1.75-1.84
Cr  0.2500  0.6153  0.7311  6 F 1.75-1.84
Cr  0.2500  0.8847  0.2311  6 F 1.75-1.84
F  0.0362  0.9520  0.3580  1 Cr 1.84
F  0.7500  0.1854  0.1919  1 Cr 1.75
F  0.0362  0.5480  0.8580  1 Cr 1.84
F  0.4682  0.8243  0.1106  1 Cr 1.80
F  0.2500  0.8146  0.8081  1 Cr 1.75
F  0.9638  0.0480  0.6420  1 Cr 1.84
F  0.0319  0.8243  0.1106  1 Cr 1.80
F  0.7500  0.9071  0.8389  1 Cr 1.79
F  0.7500  0.5929  0.3389  1 Cr 1.79
F  0.5318  0.3243  0.3894  1 Cr 1.80
F  0.4638  0.5480  0.8580  1 Cr 1.84
F  0.2500  0.4071  0.6611  1 Cr 1.79
F  0.9638  0.4520  0.1420  1 Cr 1.84
F  0.5318  0.1757  0.8894  1 Cr 1.80
F  0.5362  0.4520  0.1420  1 Cr 1.84
F  0.5362  0.0480  0.6420  1 Cr 1.84
F  0.2500  0.6854  0.3081  1 Cr 1.75
F  0.4682  0.6757  0.6106  1 Cr 1.80
F  0.4638  0.9520  0.3580  1 Cr 1.84
F  0.0319  0.6757  0.6106  1 Cr 1.80
F  0.9682  0.1757  0.8894  1 Cr 1.80
F  0.7500  0.3146  0.6919  1 Cr 1.75
F  0.2500  0.0929  0.1611  1 Cr 1.79
F  0.9682  0.3243  0.3894  1 Cr 1.80